## A
The following is a PBE calculation of an optimized crystal structure of VInAg3, from Alexandria via LeMat-Bulk.

```
VInAg3
1.0
5.077 0.000 0.000
0.000 5.077 0.000
0.000 0.000 5.077
In Ag V
1 3 1
Direct
0.500 0.500 0.500
0.000 0.000 0.500
0.000 0.500 0.000
0.500 0.000 0.000
0.000 0.000 0.000
```

Computed properties:
volume: 26.17 A^3/atom

=====

## B
The following is a PBE calculation of an optimized crystal structure of VInAg3, from Alexandria via LeMat-Bulk.

```
VInAg3
1.0
-1.200 1.415 -4.762
-3.073 -4.061 -0.433
-3.904 2.761 1.804
V Ag In
1 3 1
Direct
0.500 0.500 0.500
0.000 0.500 0.000
0.000 0.000 0.500
0.500 0.000 0.000
0.000 0.000 0.000
```

Computed properties:
volume: 26.70 A^3/atom

=====

Which structure is the most stable? The one labeled A.

=====

## A
The following is a PBE calculation of an optimized crystal structure of Y8InAg2, from Alexandria via LeMat-Bulk.

```
Y8InAg2
1.0
4.962 0.000 -1.602
-1.229 7.246 -3.807
0.037 0.187 8.600
Y In Ag
8 1 2
Direct
0.397 0.538 0.793
0.149 0.209 0.299
0.686 0.967 0.372
0.603 0.462 0.207
0.062 0.729 0.125
0.314 0.033 0.628
0.938 0.271 0.875
0.851 0.791 0.701
0.500 0.000 0.000
0.786 0.380 0.572
0.214 0.620 0.428
```

Computed properties:
volume: 28.50 A^3/atom

=====

## B
The following is a PBE calculation of an optimized crystal structure of Y8InAg2, from Alexandria via LeMat-Bulk.

```
Y8InAg2
1.0
-0.921 4.143 -3.411
-6.310 1.186 5.409
7.690 2.046 2.676
Y In Ag
8 1 2
Direct
0.500 0.229 0.771
0.305 0.605 0.605
0.100 0.325 0.090
0.500 0.771 0.229
0.900 0.910 0.675
0.695 0.395 0.395
0.100 0.090 0.325
0.900 0.675 0.910
0.500 0.000 0.000
0.000 0.695 0.305
0.000 0.305 0.695
```

Computed properties:
volume: 29.52 A^3/atom

=====

Which structure is the most stable? The one labeled A.

=====

## A
The following is a PBE calculation of an optimized crystal structure of YInAg3, from Alexandria via LeMat-Bulk.

```
YInAg3
1.0
-1.424 -5.059 -1.800
2.585 0.987 -4.818
4.707 -2.072 2.101
Ag Y In
3 1 1
Direct
0.000 0.500 0.000
0.000 0.000 0.500
0.500 0.000 0.000
0.000 0.000 0.000
0.500 0.500 0.500
```

Computed properties:
volume: 34.30 A^3/atom

=====

## B
The following is a PBE calculation of an optimized crystal structure of YInAg3, from Alexandria via LeMat-Bulk.

```
YInAg3
1.0
5.099 0.000 0.000
0.000 5.099 0.000
0.000 0.000 5.099
In Ag Y
1 3 1
Direct
0.000 0.000 0.000
0.500 0.000 0.000
0.000 0.000 0.500
0.000 0.500 0.000
0.500 0.500 0.500
```

Computed properties:
volume: 26.52 A^3/atom

=====

Which structure is the most stable? The one labeled B.

=====

## A
The following is a PBE calculation of an optimized crystal structure of Y4InAg2, from Alexandria via LeMat-Bulk.

```
Y4InAg2
1.0
-3.657 2.309 2.529
-4.697 -1.723 -0.257
-1.151 -5.371 8.202
Y In Ag
4 1 2
Direct
0.205 0.205 0.384
0.795 0.795 0.616
0.621 0.621 0.137
0.379 0.379 0.863
0.000 0.000 0.000
0.900 0.900 0.299
0.100 0.100 0.701
```

Computed properties:
volume: 29.31 A^3/atom

=====

## B
The following is a PBE calculation of an optimized crystal structure of Y4InAg2, from Alexandria via LeMat-Bulk.

```
Y4InAg2
1.0
-3.165 2.636 -3.119
-2.257 -2.374 -3.995
-8.196 -1.910 2.425
Ag Y In
2 4 1
Direct
0.255 0.255 0.235
0.745 0.745 0.765
0.616 0.616 0.153
0.870 0.870 0.391
0.384 0.384 0.847
0.130 0.130 0.609
0.000 0.000 0.000
```

Computed properties:
volume: 27.19 A^3/atom

=====

Which structure is the most stable? The one labeled B.

=====

## A
The following is a PBE calculation of an optimized crystal structure of Y3InAg, from Alexandria via LeMat-Bulk.

```
Y3InAg
1.0
-4.063 -3.683 0.293
3.280 -3.394 2.808
-1.702 2.252 4.711
Ag Y In
1 3 1
Direct
0.000 0.000 0.000
0.500 0.000 0.000
0.000 0.000 0.500
0.000 0.500 0.000
0.500 0.500 0.500
```

Computed properties:
volume: 33.12 A^3/atom

=====

## B
The following is a PBE calculation of an optimized crystal structure of Y3InAg, from Alexandria via LeMat-Bulk.

```
Y3InAg
1.0
5.015 0.000 1.146
0.000 5.143 0.000
0.202 0.000 10.661
In Ag Y
2 2 6
Direct
0.981 0.250 0.686
0.667 0.750 0.314
0.165 0.250 0.319
0.484 0.750 0.681
0.261 0.750 0.127
0.074 0.750 0.501
0.762 0.250 0.125
0.887 0.750 0.875
0.388 0.250 0.873
0.574 0.250 0.499
```

Computed properties:
volume: 27.38 A^3/atom

=====

Which structure is the most stable? The one labeled B.

=====

## A
The following is a PBE calculation of an optimized crystal structure of Y3In2Ag, from Alexandria via LeMat-Bulk.

```
Y3In2Ag
1.0
3.589 0.000 0.000
0.000 3.589 0.000
0.000 0.000 12.051
Ag In Y
1 2 3
Direct
0.500 0.500 0.500
0.500 0.500 0.174
0.500 0.500 0.826
0.000 0.000 0.346
0.000 0.000 0.654
0.000 0.000 0.000
```

Computed properties:
volume: 25.87 A^3/atom

=====

## B
The following is a PBE calculation of an optimized crystal structure of Y3In2Ag, from Alexandria via LeMat-Bulk.

```
Y3In2Ag
1.0
-2.546 -0.093 -4.619
4.329 -2.936 0.686
-7.326 -9.815 4.236
In Y Ag
4 6 2
Direct
0.000 0.000 0.000
0.333 0.667 0.171
0.000 0.000 0.500
0.667 0.333 0.829
0.000 0.000 0.747
0.333 0.667 0.417
0.667 0.333 0.583
0.000 0.000 0.253
0.333 0.667 0.913
0.667 0.333 0.087
0.333 0.667 0.669
0.667 0.333 0.331
```

Computed properties:
volume: 26.03 A^3/atom

=====

Which structure is the most stable? The one labeled A.